Record 1
! TmNiAs | the Alexandria database | PBEsol | relaxed; values from VASP
&SYSTEM
  ibrav = 0, nat = 3, ntyp = 3
/
ATOMIC_SPECIES
Ni 58.69 Ni.upf
As 74.92 As.upf
Tm 168.93 Tm.upf
ATOMIC_POSITIONS crystal
Ni 0.500 0.000 0.000
As 0.500 0.667 0.333
Tm 0.000 0.333 0.667
CELL_PARAMETERS angstrom
-1.031 2.372 2.744
-2.305 -2.821 1.573
3.787 0.330 1.137
! density = 9.8 g cm⁻³



Record 2
! UNiAs | the Alexandria database | PBEsol | relaxed; values from VASP
&SYSTEM
  ibrav = 0, nat = 6, ntyp = 3
/
ATOMIC_SPECIES
Ni 58.69 Ni.upf
As 74.92 As.upf
U 238.03 U.upf
ATOMIC_POSITIONS crystal
Ni 0.667 0.333 0.250
Ni 0.333 0.667 0.750
As 0.333 0.667 0.250
As 0.667 0.333 0.750
U 0.000 0.000 0.000
U 0.000 0.000 0.500
CELL_PARAMETERS angstrom
-1.586 -3.378 1.386
3.358 -0.107 -2.135
4.037 0.696 6.317
! density = 11.9 g cm⁻³



Record 3
! NiAs3W | the Alexandria database | PBEsol | relaxed; values from VASP
&SYSTEM
  ibrav = 0, nat = 5, ntyp = 3
/
ATOMIC_SPECIES
Ni 58.69 Ni.upf
As 74.92 As.upf
W 183.84 W.upf
ATOMIC_POSITIONS crystal
Ni 0.000 0.000 0.000
As 0.000 0.500 0.000
As 0.000 0.000 0.500
As 0.500 0.000 0.000
W 0.500 0.500 0.500
CELL_PARAMETERS angstrom
4.463 0.000 0.000
0.000 4.463 0.000
0.000 0.000 4.463
! density = 8.7 g cm⁻³



Record 4
! NiAsW | the Alexandria database | PBEsol | relaxed; values from VASP
&SYSTEM
  ibrav = 0, nat = 3, ntyp = 3
/
ATOMIC_SPECIES
As 74.92 As.upf
Ni 58.69 Ni.upf
W 183.84 W.upf
ATOMIC_POSITIONS crystal
As 0.500 0.500 0.500
Ni 0.750 0.750 0.750
W 0.000 0.000 0.000
CELL_PARAMETERS angstrom
-3.180 -2.405 0.251
0.251 -3.439 2.017
-1.918 -0.419 3.479
! density = 11.7 g cm⁻³



Record 5
! NiAsW | the Alexandria database | PBEsol | relaxed; values from VASP
&SYSTEM
  ibrav = 0, nat = 3, ntyp = 3
/
ATOMIC_SPECIES
As 74.92 As.upf
Ni 58.69 Ni.upf
W 183.84 W.upf
ATOMIC_POSITIONS crystal
As 0.013 0.013 0.027
Ni 0.657 0.657 0.314
W 0.330 0.330 0.659
CELL_PARAMETERS angstrom
2.864 0.000 0.000
0.000 3.186 0.000
-1.432 -1.593 4.449
! density = 13.0 g cm⁻³



Record 6
! NiAsW3 | the Alexandria database | PBEsol | relaxed; values from VASP
&SYSTEM
  ibrav = 0, nat = 5, ntyp = 3
/
ATOMIC_SPECIES
Ni 58.69 Ni.upf
As 74.92 As.upf
W 183.84 W.upf
ATOMIC_POSITIONS crystal
Ni 0.500 0.500 0.500
As 0.000 0.000 0.000
W 0.000 0.500 0.000
W 0.000 0.000 0.500
W 0.500 0.000 0.000
CELL_PARAMETERS angstrom
4.512 0.000 0.000
0.000 4.512 0.000
0.000 0.000 4.512
! density = 12.4 g cm⁻³



Record 7
! NiAsW | the Alexandria database | PBEsol | relaxed; values from VASP
&SYSTEM
  ibrav = 0, nat = 3, ntyp = 3
/
ATOMIC_SPECIES
As 74.92 As.upf
Ni 58.69 Ni.upf
W 183.84 W.upf
ATOMIC_POSITIONS crystal
As 0.000 0.000 0.000
Ni 0.500 0.500 0.500
W 0.750 0.750 0.750
CELL_PARAMETERS angstrom
4.102 0.000 0.000
2.051 3.553 0.000
2.051 1.184 3.350
! density = 10.8 g cm⁻³



Record 8
! YNi2As | the Alexandria database | PBEsol | relaxed; values from VASP
&SYSTEM
  ibrav = 0, nat = 4, ntyp = 3
/
ATOMIC_SPECIES
As 74.92 As.upf
Ni 58.69 Ni.upf
Y 88.91 Y.upf
ATOMIC_POSITIONS crystal
As 0.296 0.296 0.113
Ni 0.001 0.001 0.997
Ni 0.707 0.707 0.879
Y 0.499 0.499 0.502
CELL_PARAMETERS angstrom
-2.488 -1.114 2.885
-0.474 -3.852 0.834
2.546 -1.411 4.381
! density = 7.2 g cm⁻³



Record 9
! YNi4As2 | the Alexandria database | PBEsol | relaxed; values from VASP
&SYSTEM
  ibrav = 0, nat = 14, ntyp = 3
/
ATOMIC_SPECIES
Y 88.91 Y.upf
Ni 58.69 Ni.upf
As 74.92 As.upf
ATOMIC_POSITIONS crystal
Y 0.000 0.500 0.500
Y 0.500 0.000 0.000
Ni 0.500 0.589 0.153
Ni 0.500 0.411 0.847
Ni 0.000 0.089 0.347
Ni 0.000 0.911 0.653
Ni 0.500 0.153 0.589
Ni 0.500 0.847 0.411
Ni 0.000 0.347 0.089
Ni 0.000 0.653 0.911
As 0.500 0.718 0.718
As 0.500 0.282 0.282
As 0.000 0.218 0.782
As 0.000 0.782 0.218
CELL_PARAMETERS angstrom
-1.054 0.962 -3.445
5.799 -3.205 -2.670
-3.650 -6.112 -0.591
! density = 8.3 g cm⁻³



Record 10
! YNiAs2 | the Alexandria database | PBEsol | relaxed; values from VASP
&SYSTEM
  ibrav = 0, nat = 4, ntyp = 3
/
ATOMIC_SPECIES
As 74.92 As.upf
Ni 58.69 Ni.upf
Y 88.91 Y.upf
ATOMIC_POSITIONS crystal
As 0.000 0.000 0.801
As 0.000 0.000 0.199
Ni 0.500 0.500 0.000
Y 0.500 0.500 0.500
CELL_PARAMETERS angstrom
-0.835 -2.682 1.676
2.985 -0.097 1.333
-2.052 3.678 4.863
! density = 7.2 g cm⁻³



Record 11
! YNiAs | the Alexandria database | PBEsol | relaxed; values from VASP
&SYSTEM
  ibrav = 0, nat = 3, ntyp = 3
/
ATOMIC_SPECIES
Y 88.91 Y.upf
Ni 58.69 Ni.upf
As 74.92 As.upf
ATOMIC_POSITIONS crystal
Y 0.000 0.000 0.000
Ni 0.500 0.667 0.333
As 0.500 0.333 0.667
CELL_PARAMETERS angstrom
-0.681 3.713 0.781
-1.093 0.598 -3.793
-2.723 -1.071 2.717
! density = 6.9 g cm⁻³



Record 12
! ZnNiAs2 | the Alexandria database | PBEsol | relaxed; values from VASP
&SYSTEM
  ibrav = 0, nat = 4, ntyp = 3
/
ATOMIC_SPECIES
As 74.92 As.upf
Ni 58.69 Ni.upf
Zn 65.41 Zn.upf
ATOMIC_POSITIONS crystal
As 0.000 0.000 0.000
As 0.250 0.250 0.250
Ni 0.500 0.500 0.500
Zn 0.750 0.750 0.750
CELL_PARAMETERS angstrom
4.431 0.000 0.000
2.216 3.838 0.000
2.216 1.279 3.618
! density = 7.4 g cm⁻³



Record 13
! ZnNiAs2 | the Alexandria database | PBEsol | relaxed; values from VASP
&SYSTEM
  ibrav = 0, nat = 4, ntyp = 3
/
ATOMIC_SPECIES
As 74.92 As.upf
Ni 58.69 Ni.upf
Zn 65.41 Zn.upf
ATOMIC_POSITIONS crystal
As 0.000 0.145 0.322
As 0.000 0.855 0.678
Ni 0.500 0.500 0.500
Zn 0.500 0.500 0.000
CELL_PARAMETERS angstrom
3.688 0.000 0.000
0.000 4.588 -0.164
0.000 -2.319 4.151
! density = 6.6 g cm⁻³



Record 14
! ZnNiAs2 | the Alexandria database | PBEsol | relaxed; values from VASP
&SYSTEM
  ibrav = 0, nat = 4, ntyp = 3
/
ATOMIC_SPECIES
As 74.92 As.upf
Ni 58.69 Ni.upf
Zn 65.41 Zn.upf
ATOMIC_POSITIONS crystal
As 0.027 0.054 0.001
As 0.835 0.671 0.257
Ni 0.455 0.910 0.628
Zn 0.182 0.364 0.614
CELL_PARAMETERS angstrom
-0.527 -0.578 -2.654
3.286 -3.113 1.468
-5.062 -1.752 1.387
! density = 7.0 g cm⁻³



Number 1: E_form -104 kJ/mol of atoms. Number 2: E_form -47 kJ/mol of atoms. Number 3: E_form 99 kJ/mol of atoms. Number 4: E_form 55 kJ/mol of atoms. Number 5: E_form 16 kJ/mol of atoms. Number 6: E_form 187 kJ/mol of atoms. Number 7: E_form 46 kJ/mol of atoms. Number 8: E_form -62 kJ/mol of atoms. Number 9: E_form -66 kJ/mol of atoms. Number 10: E_form -33 kJ/mol of atoms. Number 11: E_form -107 kJ/mol of atoms. Number 12: E_form 31 kJ/mol of atoms. Number 13: E_form -1 kJ/mol of atoms. Number 14: E_form -1 kJ/mol of atoms.